# 1
Density functional theory data (PBE) for an optimized crystal structure of CuSbMo2.

a = 2.909 Å, b = 4.315 Å, c = 5.426 Å
α = 90.00°, β = 102.05°, γ = 90.00°
Sites, in units of the cell vectors:
Cu  0.000  0.000  0.000
Sb  0.019  0.500  0.734
Mo  0.459  0.000  0.461
Mo  0.634  0.500  0.213

Final energy: -7.125 eV/atom
Formation energy from raw total energies: 133 kJ/mol of formula units
Fermi-level density of states: 2.4 states/eV/f.u.



# 2
Density functional theory data (PBE) for an optimized crystal structure of ZnSnPdO4.

a = 6.538 Å, b = 6.538 Å, c = 6.538 Å
α = 126.07°, β = 123.36°, γ = 82.03°
Sites, in units of the cell vectors:
Zn  0.406  0.156  0.250
Zn  0.594  0.844  0.750
Sn  0.000  0.500  0.500
Sn  0.500  0.500  0.000
Pd  0.000  0.000  0.500
Pd  0.000  0.500  0.000
O  0.196  0.719  0.477
O  0.258  0.281  0.977
O  0.280  0.297  0.517
O  0.280  0.764  0.983
O  0.720  0.236  0.017
O  0.720  0.703  0.483
O  0.742  0.719  0.023
O  0.804  0.281  0.523

Final energy: -5.432 eV/atom
Formation energy from raw total energies: -745 kJ/mol of formula units
Fermi-level density of states: 0.3 states/eV/f.u.



# 3
Density functional theory data (PBE) for an optimized crystal structure of Rb2Zr3TlS8.

a = 9.355 Å, b = 9.355 Å, c = 9.355 Å
α = 48.78°, β = 48.78°, γ = 48.78°
Sites, in units of the cell vectors:
Rb  0.000  0.000  0.000
Rb  0.347  0.347  0.347
Zr  0.355  0.355  0.851
Zr  0.355  0.851  0.355
Zr  0.851  0.355  0.355
Tl  0.836  0.836  0.836
S  0.082  0.082  0.560
S  0.082  0.560  0.082
S  0.129  0.129  0.129
S  0.163  0.606  0.606
S  0.560  0.082  0.082
S  0.578  0.578  0.578
S  0.606  0.163  0.606
S  0.606  0.606  0.163

Final energy: -5.790 eV/atom
Formation energy from raw total energies: -1746 kJ/mol of formula units
Fermi-level density of states: 2.0 states/eV/f.u.



# 4
Density functional theory data (PBE) for an optimized crystal structure of Ni2HgCl.

a = 3.048 Å, b = 4.086 Å, c = 5.574 Å
α = 90.00°, β = 90.00°, γ = 90.00°
Sites, in units of the cell vectors:
Ni  0.000  0.000  0.000
Ni  0.500  0.000  0.500
Hg  0.000  0.500  0.500
Cl  0.500  0.500  0.000

Final energy: -2.989 eV/atom
Formation energy from raw total energies: 170 kJ/mol of formula units
Fermi-level density of states: 4.6 states/eV/f.u.
Polymorph energy (0 for the lowest one): 34.74 kJ/mol of atoms



# 5
Density functional theory data (PBE) for an optimized crystal structure of AlBiMo3.

a = 4.635 Å, b = 4.635 Å, c = 4.635 Å
α = 90.00°, β = 90.00°, γ = 90.00°
Sites, in units of the cell vectors:
Al  0.000  0.000  0.000
Bi  0.500  0.500  0.500
Mo  0.000  0.000  0.500
Mo  0.000  0.500  0.000
Mo  0.500  0.000  0.000

Energy of formation: 1377.3 meV per atom
Final energy: -6.646 eV/atom
Fermi-level density of states: 7.0 states/eV/f.u.
Polymorph energy (0 for the lowest one): 0.00 kJ/mol of atoms



# 6
Density functional theory data (PBE) for an optimized crystal structure of LiScP.

a = 4.588 Å, b = 4.585 Å, c = 3.618 Å
α = 66.81°, β = 66.73°, γ = 46.46°
Sites, in units of the cell vectors:
Li  0.000  0.000  0.000
Sc  0.333  0.333  0.667
P  0.689  0.689  0.311

Energy of formation: -601.3 meV per atom
Final energy: -5.153 eV/atom
Fermi-level density of states: 2.1 states/eV/f.u.



# 7
Density functional theory data (PBE) for an optimized crystal structure of Er2Zn3Sn3.

a = 4.452 Å, b = 4.492 Å, c = 8.749 Å
α = 90.00°, β = 90.00°, γ = 90.00°
Sites, in units of the cell vectors:
Er  0.000  0.000  0.247
Er  0.000  0.000  0.753
Zn  0.000  0.500  0.000
Zn  0.500  0.500  0.228
Zn  0.500  0.500  0.772
Sn  0.000  0.500  0.500
Sn  0.500  0.000  0.000
Sn  0.500  0.000  0.500

Energy of formation: -387.3 meV per atom
Final energy: -3.507 eV/atom
Fermi-level density of states: 2.9 states/eV/f.u.



# 8
Density functional theory data (PBE) for an optimized crystal structure of Cr2TcSe.

a = 4.938 Å, b = 4.938 Å, c = 4.938 Å
α = 145.21°, β = 129.03°, γ = 63.20°
Sites, in units of the cell vectors:
Cr  0.233  0.233  0.000
Cr  0.767  0.767  0.000
Tc  0.500  0.000  0.500
Se  0.000  0.500  0.500

Final energy: -8.033 eV/atom
Formation energy from raw total energies: 93 kJ/mol of formula units
Fermi-level density of states: 4.4 states/eV/f.u.



# 9
Density functional theory data (PBE) for an optimized crystal structure of Li4Zn2Cd3.

a = 5.035 Å, b = 5.035 Å, c = 8.614 Å
α = 106.93°, β = 106.93°, γ = 50.05°
Sites, in units of the cell vectors:
Li  0.000  0.000  0.172
Li  0.000  0.000  0.828
Li  0.336  0.336  0.607
Li  0.664  0.664  0.393
Zn  0.326  0.326  0.281
Zn  0.674  0.674  0.719
Cd  0.000  0.000  0.500
Cd  0.333  0.333  0.939
Cd  0.667  0.667  0.061

Energy of formation: -177.4 meV per atom
Final energy: -1.616 eV/atom
Fermi-level density of states: 2.8 states/eV/f.u.



# 10
Density functional theory data (PBE) for an optimized crystal structure of CsHo3Se4O12.

a = 7.655 Å, b = 7.655 Å, c = 7.655 Å
α = 107.40°, β = 107.40°, γ = 107.40°
Sites, in units of the cell vectors:
Cs  0.000  0.000  0.000
Ho  0.000  0.569  0.431
Ho  0.431  0.000  0.569
Ho  0.569  0.431  0.000
Se  0.070  0.500  0.930
Se  0.500  0.500  0.500
Se  0.500  0.930  0.070
Se  0.930  0.070  0.500
O  0.085  0.623  0.775
O  0.116  0.884  0.500
O  0.225  0.377  0.915
O  0.345  0.655  0.500
O  0.377  0.915  0.225
O  0.500  0.116  0.884
O  0.500  0.345  0.655
O  0.623  0.775  0.085
O  0.655  0.500  0.345
O  0.775  0.085  0.623
O  0.884  0.500  0.116
O  0.915  0.225  0.377

Final energy: -6.034 eV/atom
Formation energy from raw total energies: -3151 kJ/mol of formula units
Fermi-level density of states: 8.5 states/eV/f.u.



# 11
Density functional theory data (PBE) for an optimized crystal structure of NaTlHg.

a = 5.721 Å, b = 5.721 Å, c = 5.721 Å
α = 138.84°, β = 138.84°, γ = 59.62°
Sites, in units of the cell vectors:
Na  0.000  0.000  0.000
Tl  0.674  0.674  0.000
Hg  0.339  0.339  0.000

Energy of formation: -141.7 meV per atom
Final energy: -1.471 eV/atom
Fermi-level density of states: 1.2 states/eV/f.u.
Polymorph energy (0 for the lowest one): 2.10 kJ/mol of atoms



# 12
Density functional theory data (PBE) for an optimized crystal structure of SbPbW2.

a = 4.770 Å, b = 4.770 Å, c = 3.365 Å
α = 90.00°, β = 90.00°, γ = 90.00°
Sites, in units of the cell vectors:
Sb  0.000  0.000  0.000
Pb  0.500  0.500  0.000
W  0.000  0.500  0.500
W  0.500  0.000  0.500

Final energy: -7.431 eV/atom
Formation energy from raw total energies: 387 kJ/mol of formula units
Fermi-level density of states: 5.4 states/eV/f.u.
Polymorph energy (0 for the lowest one): 60.36 kJ/mol of atoms



# 13
Density functional theory data (PBE) for an optimized crystal structure of KBa2Ir.

a = 7.833 Å, b = 7.833 Å, c = 7.833 Å
α = 148.64°, β = 128.80°, γ = 61.28°
Sites, in units of the cell vectors:
K  0.000  0.000  0.000
Ba  0.344  0.844  0.500
Ba  0.656  0.156  0.500
Ir  0.500  0.500  0.000

Energy of formation: 178.7 meV per atom
Final energy: -3.272 eV/atom
Fermi-level density of states: 3.3 states/eV/f.u.
Polymorph energy (0 for the lowest one): 21.63 kJ/mol of atoms



# 14
Density functional theory data (PBE) for an optimized crystal structure of LaPrDy2Tm4.

a = 7.167 Å, b = 9.942 Å, c = 7.182 Å
α = 90.00°, β = 90.08°, γ = 90.00°
Sites, in units of the cell vectors:
La  0.000  0.000  0.000
La  0.500  0.000  0.000
Pr  0.000  0.000  0.500
Pr  0.000  0.500  0.000
Dy  0.000  0.500  0.500
Dy  0.500  0.000  0.500
Dy  0.500  0.500  0.000
Dy  0.500  0.500  0.500
Tm  0.252  0.254  0.253
Tm  0.252  0.254  0.747
Tm  0.252  0.746  0.253
Tm  0.252  0.746  0.747
Tm  0.748  0.254  0.253
Tm  0.748  0.254  0.747
Tm  0.748  0.746  0.253
Tm  0.748  0.746  0.747

Energy of formation: 27.8 meV per atom
Final energy: -4.572 eV/atom
Fermi-level density of states: 11.6 states/eV/f.u.



# 15
Density functional theory data (PBE) for an optimized crystal structure of CdTcRh.

a = 2.813 Å, b = 2.813 Å, c = 12.367 Å
α = 90.00°, β = 90.00°, γ = 90.00°
Sites, in units of the cell vectors:
Cd  0.250  0.250  0.105
Cd  0.750  0.750  0.895
Tc  0.250  0.250  0.416
Tc  0.750  0.750  0.584
Rh  0.250  0.250  0.723
Rh  0.750  0.750  0.277

Energy of formation: -50.9 meV per atom
Final energy: -6.262 eV/atom
Fermi-level density of states: 1.6 states/eV/f.u.
Polymorph energy (0 for the lowest one): 0.00 kJ/mol of atoms



# 16
Density functional theory data (PBE) for an optimized crystal structure of TaTiBCl2.

a = 4.583 Å, b = 4.583 Å, c = 4.436 Å
α = 90.00°, β = 90.00°, γ = 90.00°
Sites, in units of the cell vectors:
Ta  0.000  0.000  0.000
Ti  0.500  0.500  0.500
B  0.500  0.500  0.000
Cl  0.000  0.500  0.500
Cl  0.500  0.000  0.500

Final energy: -5.068 eV/atom
Formation energy from raw total energies: 461 kJ/mol of formula units
Fermi-level density of states: 4.8 states/eV/f.u.



# 17
Density functional theory data (PBE) for an optimized crystal structure of Ac2ZnPO6.

a = 5.569 Å, b = 5.569 Å, c = 4.162 Å
α = 90.00°, β = 90.00°, γ = 90.00°
Sites, in units of the cell vectors:
Ac  0.000  0.500  0.000
Ac  0.500  0.000  0.000
Zn  0.000  0.000  0.515
P  0.500  0.500  0.510
O  0.000  0.000  0.026
O  0.272  0.272  0.558
O  0.272  0.728  0.558
O  0.500  0.500  0.120
O  0.728  0.272  0.558
O  0.728  0.728  0.558

Final energy: -6.867 eV/atom
Formation energy from raw total energies: -2318 kJ/mol of formula units
Fermi-level density of states: 1.1 states/eV/f.u.



# 18
Density functional theory data (PBE) for an optimized crystal structure of Hg15Bi.

a = 6.763 Å, b = 6.763 Å, c = 11.149 Å
α = 90.00°, β = 90.00°, γ = 120.00°
Sites, in units of the cell vectors:
Hg  0.000  0.000  0.000
Hg  0.001  0.501  0.500
Hg  0.005  0.502  0.000
Hg  0.333  0.667  0.250
Hg  0.333  0.667  0.750
Hg  0.337  0.168  0.243
Hg  0.337  0.168  0.757
Hg  0.498  0.502  0.000
Hg  0.498  0.995  0.000
Hg  0.499  0.501  0.500
Hg  0.499  0.999  0.500
Hg  0.832  0.168  0.243
Hg  0.832  0.168  0.757
Hg  0.832  0.663  0.243
Hg  0.832  0.663  0.757
Bi  0.000  0.000  0.500

Energy of formation: 42.3 meV per atom
Final energy: -0.483 eV/atom
Fermi-level density of states: 2.3 states/eV/f.u.



# 19
Density functional theory data (PBE) for an optimized crystal structure of HgPtF2.

a = 5.995 Å, b = 5.995 Å, c = 5.995 Å
α = 101.61°, β = 101.61°, γ = 126.69°
Sites, in units of the cell vectors:
Hg  0.000  0.000  0.000
Hg  0.750  0.250  0.500
Pt  0.250  0.750  0.500
Pt  0.500  0.500  0.000
F  0.259  0.625  0.134
F  0.375  0.509  0.634
F  0.491  0.125  0.866
F  0.875  0.741  0.366

Final energy: -3.031 eV/atom
Formation energy from raw total energies: -197 kJ/mol of formula units
Fermi-level density of states: 1.9 states/eV/f.u.
Polymorph energy (0 for the lowest one): 31.46 kJ/mol of atoms



# 20
Density functional theory data (PBE) for an optimized crystal structure of Li2Ag3Bi.

a = 7.891 Å, b = 7.891 Å, c = 8.375 Å
α = 122.05°, β = 122.05°, γ = 31.68°
Sites, in units of the cell vectors:
Li  0.080  0.080  0.226
Li  0.253  0.253  0.158
Li  0.747  0.747  0.842
Li  0.920  0.920  0.774
Ag  0.086  0.086  0.703
Ag  0.243  0.243  0.605
Ag  0.416  0.416  0.538
Ag  0.584  0.584  0.462
Ag  0.757  0.757  0.395
Ag  0.914  0.914  0.297
Bi  0.403  0.403  0.030
Bi  0.597  0.597  0.970

Energy of formation: -198.2 meV per atom
Final energy: -2.909 eV/atom
Fermi-level density of states: 1.4 states/eV/f.u.
Polymorph energy (0 for the lowest one): 0.00 kJ/mol of atoms



# 21
Density functional theory data (PBE) for an optimized crystal structure of BaY4Mo.

a = 6.587 Å, b = 6.587 Å, c = 6.587 Å
α = 60.00°, β = 60.00°, γ = 60.00°
Sites, in units of the cell vectors:
Ba  0.000  0.000  0.000
Y  0.377  0.377  0.377
Y  0.377  0.377  0.868
Y  0.377  0.868  0.377
Y  0.868  0.377  0.377
Mo  0.750  0.750  0.750

Energy of formation: 872.8 meV per atom
Final energy: -5.562 eV/atom
Fermi-level density of states: 10.6 states/eV/f.u.



# 22
Density functional theory data (PBE) for an optimized crystal structure of PmSeO4.

a = 5.449 Å, b = 8.201 Å, c = 8.672 Å
α = 90.00°, β = 103.87°, γ = 90.00°
Sites, in units of the cell vectors:
Pm  0.002  0.021  0.259
Pm  0.002  0.479  0.759
Pm  0.998  0.521  0.241
Pm  0.998  0.979  0.741
Se  0.407  0.231  0.610
Se  0.407  0.269  0.110
Se  0.593  0.731  0.890
Se  0.593  0.769  0.390
O  0.123  0.047  0.009
O  0.123  0.453  0.509
O  0.267  0.042  0.552
O  0.267  0.458  0.052
O  0.272  0.706  0.792
O  0.272  0.794  0.292
O  0.274  0.247  0.774
O  0.274  0.253  0.274
O  0.726  0.747  0.726
O  0.726  0.753  0.226
O  0.728  0.206  0.708
O  0.728  0.294  0.208
O  0.733  0.542  0.948
O  0.733  0.958  0.448
O  0.877  0.547  0.491
O  0.877  0.953  0.991

Final energy: -6.495 eV/atom
Formation energy from raw total energies: -1052 kJ/mol of formula units
Fermi-level density of states: 0.0 states/eV/f.u.



# 23
Density functional theory data (PBE) for an optimized crystal structure of Ce2UMn2C4.

a = 6.717 Å, b = 6.717 Å, c = 5.930 Å
α = 108.52°, β = 108.52°, γ = 28.71°
Sites, in units of the cell vectors:
Ce  0.133  0.133  0.034
Ce  0.867  0.867  0.966
U  0.000  0.000  0.500
Mn  0.317  0.317  0.495
Mn  0.683  0.683  0.505
C  0.223  0.223  0.697
C  0.460  0.460  0.742
C  0.540  0.540  0.258
C  0.777  0.777  0.303

Energy of formation: -130.4 meV per atom
Final energy: -8.841 eV/atom
Fermi-level density of states: 10.5 states/eV/f.u.



| no. | M_tot (μB per cell) |
| --- | --- |
| 1 | 0.00 |
| 2 | 0.00 |
| 3 | 0.00 |
| 4 | 1.34 |
| 5 | 0.00 |
| 6 | 0.48 |
| 7 | 0.00 |
| 8 | 0.00 |
| 9 | 0.00 |
| 10 | 0.80 |
| 11 | 0.00 |
| 12 | 0.00 |
| 13 | 0.00 |
| 14 | 0.00 |
| 15 | 0.00 |
| 16 | 1.98 |
| 17 | 0.00 |
| 18 | 0.00 |
| 19 | 0.39 |
| 20 | 0.00 |
| 21 | 4.52 |
| 22 | 0.00 |
| 23 | 0.48 |